# 1
BaNiMo | PBE-GGA | relaxed

Results
density of states at the Fermi level = 5.5 states/eV per cell
crystal system = cubic
energy of formation from the pure elements = 1257.7 meV per atom
energy above the most stable polymorph in this dataset = 0.947 eV/atom

Cell: 6.810 6.810 6.810 Å, 90.00 90.00 90.00°
Space group F-43m (No. 216)
One atom of each set of equivalent atoms:
1 Ba 0.000 0.000 0.000 (multiplicity 4)
2 Ni 0.250 0.250 0.250 (multiplicity 4)
3 Mo 0.000 0.000 0.500 (multiplicity 4)

***

# 2
BaNiMo | PBE-GGA | relaxed

Results
density of states at the Fermi level = 5.9 states/eV per cell
crystal system = triclinic
energy of formation from the pure elements = 310.4 meV per atom
energy above the most stable polymorph in this dataset = 0.000 eV/atom

Cell: 4.276 4.276 11.114 Å, 79.50 79.28 60.02°
Space group P-1 (No. 2)
One atom of each set of equivalent atoms:
1 Ba 0.234 0.241 0.300 (multiplicity 2)
2 Ni 0.038 0.035 0.886 (multiplicity 2)
3 Mo 0.336 0.336 0.991 (multiplicity 2)

***

# 3
BaNiMo | PBE-GGA | relaxed

Results
density of states at the Fermi level = 13.5 states/eV per cell
crystal system = orthorhombic
energy of formation from the pure elements = 699.9 meV per atom
energy above the most stable polymorph in this dataset = 0.389 eV/atom

Cell: 5.661 4.321 11.120 Å, 90.00 90.00 90.00°
Space group Pnma (No. 62)
One atom of each set of equivalent atoms:
1 Ba 0.059 0.250 0.128 (multiplicity 4)
2 Ni 0.050 0.250 0.448 (multiplicity 4)
3 Mo 0.048 0.750 0.331 (multiplicity 4)

***

# 4
Ba2NiMo | PBE-GGA | relaxed

Results
density of states at the Fermi level = 3.4 states/eV per cell
crystal system = orthorhombic
energy of formation from the pure elements = 1209.6 meV per atom
energy above the most stable polymorph in this dataset = 0.621 eV/atom

Cell: 3.829 4.768 5.699 Å, 90.00 90.00 90.00°
Space group Pmmm (No. 47)
One atom of each set of equivalent atoms:
1 Ba 0.000 0.000 0.000 (multiplicity 1)
2 Ba 0.500 0.000 0.500 (multiplicity 1)
3 Ni 0.000 0.500 0.500 (multiplicity 1)
4 Mo 0.500 0.500 0.000 (multiplicity 1)

***

# 5
BaNiMo2 | PBE-GGA | relaxed

Results
density of states at the Fermi level = 21.2 states/eV per cell
crystal system = cubic
energy of formation from the pure elements = 1375.1 meV per atom
energy above the most stable polymorph in this dataset = 0.837 eV/atom

Cell: 6.589 6.589 6.589 Å, 90.00 90.00 90.00°
Space group Fm-3m (No. 225)
One atom of each set of equivalent atoms:
1 Ba 0.000 0.000 0.000 (multiplicity 4)
2 Ni 0.000 0.000 0.500 (multiplicity 4)
3 Mo 0.250 0.250 0.250 (multiplicity 8)

***

# 6
BaNiMo2 | PBE-GGA | relaxed

Results
density of states at the Fermi level = 10.2 states/eV per cell
crystal system = monoclinic
energy of formation from the pure elements = 1164.6 meV per atom
energy above the most stable polymorph in this dataset = 0.626 eV/atom

Cell: 5.365 10.720 2.922 Å, 90.00 112.29 90.00°
Space group C2/m (No. 12)
One atom of each set of equivalent atoms:
1 Ba 0.000 0.000 0.000 (multiplicity 2)
2 Ni 0.000 0.500 0.000 (multiplicity 2)
3 Mo 0.250 0.250 0.500 (multiplicity 4)

***

# 7
BaNiMo2 | PBE-GGA | relaxed

Results
density of states at the Fermi level = 6.2 states/eV per cell
crystal system = tetragonal
energy of formation from the pure elements = 726.4 meV per atom
energy above the most stable polymorph in this dataset = 0.188 eV/atom

Cell: 3.327 3.327 7.632 Å, 90.00 90.00 90.00°
Space group P4/mmm (No. 123)
One atom of each set of equivalent atoms:
1 Ba 0.000 0.000 0.000 (multiplicity 1)
2 Ni 0.000 0.000 0.500 (multiplicity 1)
3 Mo 0.500 0.500 0.351 (multiplicity 2)

***

# 8
BaNiMo | PBE-GGA | relaxed

Results
density of states at the Fermi level = 7.4 states/eV per cell
crystal system = orthorhombic
energy of formation from the pure elements = 376.4 meV per atom
energy above the most stable polymorph in this dataset = 0.066 eV/atom

Cell: 4.196 4.801 9.220 Å, 90.00 90.00 90.00°
Space group Pmm2 (No. 25)
One atom of each set of equivalent atoms:
1 Ba 0.000 0.000 0.000 (multiplicity 1)
2 Ba 0.500 0.500 0.414 (multiplicity 1)
3 Ni 0.000 0.254 0.657 (multiplicity 2)
4 Mo 0.500 0.000 0.704 (multiplicity 1)
5 Mo 0.500 0.500 0.780 (multiplicity 1)

***

# 9
Ba2NiMo | PBE-GGA | relaxed

Results
density of states at the Fermi level = 14.1 states/eV per cell
crystal system = cubic
energy of formation from the pure elements = 1081.2 meV per atom
energy above the most stable polymorph in this dataset = 0.492 eV/atom

Cell: 7.664 7.664 7.664 Å, 90.00 90.00 90.00°
Space group F-43m (No. 216)
One atom of each set of equivalent atoms:
1 Ba 0.000 0.000 0.000 (multiplicity 4)
2 Ba 0.250 0.250 0.250 (multiplicity 4)
3 Ni 0.000 0.000 0.500 (multiplicity 4)
4 Mo 0.250 0.250 0.750 (multiplicity 4)

***

# 10
BaNiMo | PBE-GGA | relaxed

Results
density of states at the Fermi level = 15.6 states/eV per cell
crystal system = monoclinic
energy of formation from the pure elements = 349.5 meV per atom
energy above the most stable polymorph in this dataset = 0.039 eV/atom

Cell: 7.293 4.210 11.131 Å, 90.00 102.77 90.00°
Space group Cm (No. 8)
One atom of each set of equivalent atoms:
1 Ba 0.000 0.000 0.000 (multiplicity 2)
2 Ba 0.210 0.000 0.618 (multiplicity 2)
3 Ni 0.097 0.000 0.286 (multiplicity 2)
4 Ni 0.395 0.000 0.181 (multiplicity 2)
5 Mo 0.264 0.500 0.287 (multiplicity 2)
6 Mo 0.469 0.000 0.401 (multiplicity 2)

***

# 11
Ba2Ni2Mo | PBE-GGA | relaxed

Results
density of states at the Fermi level = 12.1 states/eV per cell
crystal system = tetragonal
energy of formation from the pure elements = 781.0 meV per atom
energy above the most stable polymorph in this dataset = 0.157 eV/atom

Cell: 6.231 6.231 7.246 Å, 90.00 90.00 90.00°
Space group I4/mmm (No. 139)
One atom of each set of equivalent atoms:
1 Ba 0.000 0.500 0.250 (multiplicity 4)
2 Ni 0.000 0.000 0.166 (multiplicity 4)
3 Mo 0.000 0.000 0.500 (multiplicity 2)

***

# 12
BaNiMo | PBE-GGA | relaxed

Results
density of states at the Fermi level = 6.1 states/eV per cell
crystal system = triclinic
energy of formation from the pure elements = 329.7 meV per atom
energy above the most stable polymorph in this dataset = 0.019 eV/atom

Cell: 4.078 4.923 8.894 Å, 97.32 91.29 94.08°
Space group P-1 (No. 2)
One atom of each set of equivalent atoms:
1 Ba 0.240 0.205 0.305 (multiplicity 2)
2 Ni 0.237 0.871 0.984 (multiplicity 2)
3 Mo 0.275 0.362 0.927 (multiplicity 2)

***

Q: What is the energy of formation from the pure elements in the first record?
A: 1257.7 meV per atom

***

Q: Which formula does entry 2 have?
A: BaNiMo

***

Q: Which of these has the highest density of states at the Fermi level?
A: number 5